No. 1
The following is a GGA-PBE calculation of a geometry-optimized Be2ZnAg structure, from Alexandria.

Calculated values
- D(E_F) (states/eV/cell) = 1.11
- symmetry = I-4m2 (119)
- total DFT energy (no corrections) (eV per atom) = -2.69
- total magnetic moment (μB per formula unit) = 0.00

a b c (Å): 4.6084 4.6084 4.6084
angles (deg): 134.59 134.59 66.17
With the nearest neighbours (Å) after each atom.
Sites, in units of the cell vectors:
Zn 0.5000 0.5000 0.0000  8 Be 2.52-2.63, 4 Ag 2.63
Ag 0.7500 0.2500 0.5000  8 Be 2.52-2.63, 4 Zn 2.63
Be 0.2500 0.7500 0.5000  4 Ag 2.52, 4 Be 2.63, 4 Zn 2.63
Be 0.0000 0.0000 0.0000  4 Zn 2.52, 4 Be 2.63, 4 Ag 2.63


No. 2
The following is a GGA-PBE calculation of a geometry-optimized BeZn3Ag structure, from Alexandria.

Calculated values
- D(E_F) (states/eV/cell) = 1.67
- symmetry = Pm-3m (221)
- total magnetic moment (μB per formula unit) = 0.00
- relative energy among the computed polymorphs (meV/atom) = 574

a b c (Å): 4.8778 4.8778 4.8778
angles (deg): 90.00 90.00 90.00
With the nearest neighbours (Å) after each atom.
Sites, in units of the cell vectors:
Be 0.5000 0.5000 0.5000  12 Zn 3.45
Zn 0.0000 0.0000 0.5000  2 Ag 2.44
Zn 0.0000 0.5000 0.0000  2 Ag 2.44
Zn 0.5000 0.0000 0.0000  2 Ag 2.44
Ag 0.0000 0.0000 0.0000  6 Zn 2.44